Entry 1:
Material: LiHoPa
Method: DFT, PBE
State: optimized geometry

Values from the calculation:
SG: F-43m (216)
E, eV/cell: -12.33

Geometry as POSCAR:
```
LiHoPa
1.0
0.000 3.408 3.408
3.408 0.000 3.408
3.408 3.408 0.000
Pa Li Ho
1 1 1
Direct
0.750 0.750 0.750
0.250 0.250 0.250
0.000 0.000 0.000
```

***

Entry 2:
Material: LiDyOs
Method: DFT, PBE
State: optimized geometry

Values from the calculation:
Energy above the lowest structure with this stoichiometry, meV per atom: 351
SG: F-43m (216)
E, eV/cell: -15.10

Geometry as POSCAR:
```
LiDyOs
1.0
1.629 -2.580 3.322
-1.134 0.853 4.282
-2.737 -2.821 2.214
Li Dy Os
1 1 1
Direct
0.250 0.250 0.250
0.000 0.000 0.000
0.750 0.750 0.750
```

***

Entry 3:
Material: TcSn2Au
Method: DFT, PBE
State: optimized geometry

Values from the calculation:
SG: F-43m (216)
E, eV/cell: -19.54

Geometry as POSCAR:
```
TcSn2Au
1.0
0.000 3.424 3.424
3.424 0.000 3.424
3.424 3.424 0.000
Sn Tc Au
2 1 1
Direct
0.000 0.000 0.000
0.750 0.750 0.750
0.500 0.500 0.500
0.250 0.250 0.250
```

***

Entry 4:
Material: Pa2Ni2Hg
Method: DFT, PBE
State: optimized geometry

Values from the calculation:
Formation enthalpy at 0 K, eV per atom: -0.30
SG: P4/mbm (127)
E, eV/cell: -63.90

Geometry as POSCAR:
```
Pa2Ni2Hg
1.0
-3.800 1.705 6.235
4.100 -4.956 3.854
2.326 2.496 0.735
Hg Ni Pa
2 4 4
Direct
0.000 0.000 0.000
0.500 0.500 0.000
0.125 0.375 0.000
0.375 0.875 0.000
0.625 0.125 0.000
0.875 0.625 0.000
0.171 0.671 0.500
0.829 0.329 0.500
0.671 0.829 0.500
0.329 0.171 0.500
```

***

Entry 5:
Material: LiHoSi2
Method: DFT, PBE
State: optimized geometry

Values from the calculation:
SG: Pnma (62)
E, eV/cell: -78.31

Geometry as POSCAR:
```
LiHoSi2
1.0
-2.581 5.784 -1.771
0.990 -0.751 -3.897
-9.508 -4.705 -1.510
Li Si Ho
4 8 4
Direct
0.639 0.750 0.946
0.139 0.750 0.554
0.861 0.250 0.446
0.361 0.250 0.054
0.673 0.750 0.368
0.029 0.750 0.333
0.471 0.250 0.833
0.327 0.250 0.632
0.827 0.250 0.868
0.529 0.750 0.167
0.971 0.250 0.667
0.173 0.750 0.132
0.851 0.250 0.157
0.149 0.750 0.843
0.351 0.250 0.343
0.649 0.750 0.657
```

***

Entry 6:
Material: CsPrAsSe3
Method: DFT, PBE
State: optimized geometry

Values from the calculation:
SG: Cmcm (63)
E, eV/cell: -54.02

Geometry as POSCAR:
```
CsPrAsSe3
1.0
2.254 -7.612 0.000
2.254 7.612 0.000
0.000 0.000 12.104
Se As Cs Pr
6 2 2 2
Direct
0.126 0.874 0.535
0.511 0.489 0.250
0.126 0.874 0.965
0.489 0.511 0.750
0.874 0.126 0.465
0.874 0.126 0.035
0.073 0.927 0.750
0.927 0.073 0.250
0.229 0.771 0.250
0.771 0.229 0.750
0.500 0.500 0.000
0.500 0.500 0.500
```

***

Entry 7:
Material: Ho3Mg3Al2Hg
Method: DFT, PBE
State: optimized geometry

Values from the calculation:
SG: P-62m (189)
E, eV/cell: -29.40

Geometry as POSCAR:
```
Ho3Mg3Al2Hg
1.0
-4.035 5.175 3.449
1.747 -6.290 3.514
3.734 1.891 1.530
Mg Hg Ho Al
3 1 3 2
Direct
0.000 0.245 0.500
0.245 0.000 0.500
0.755 0.755 0.500
0.000 0.000 0.000
0.575 0.000 0.000
0.000 0.575 0.000
0.425 0.425 0.000
0.667 0.333 0.500
0.333 0.667 0.500
```

***

Entry 8:
Material: Sm3Er3CoTe2
Method: DFT, PBE
State: optimized geometry

Values from the calculation:
Energy above the lowest structure with this stoichiometry, meV per atom: 96
SG: P-62m (189)
E, eV/cell: -46.72

Geometry as POSCAR:
```
Sm3Er3CoTe2
1.0
-5.803 4.090 -4.617
-2.104 -7.086 4.134
-0.985 2.098 3.096
Er Te Co Sm
3 2 1 3
Direct
0.594 0.594 0.000
0.406 0.000 0.000
0.000 0.406 0.000
0.667 0.333 0.500
0.333 0.667 0.500
0.000 0.000 0.000
0.239 0.239 0.500
0.761 0.000 0.500
0.000 0.761 0.500
```

***

Entry 9:
Material: PrInSnSe3
Method: DFT, PBE
State: optimized geometry

Values from the calculation:
SG: Cmcm (63)
E, eV/cell: -54.48

Geometry as POSCAR:
```
PrInSnSe3
1.0
6.211 3.893 -2.201
-6.616 0.042 3.848
5.657 -3.506 9.764
In Se Pr Sn
2 6 2 2
Direct
0.823 0.177 0.250
0.177 0.823 0.750
0.501 0.499 0.750
0.139 0.861 0.003
0.861 0.139 0.503
0.499 0.501 0.250
0.861 0.139 0.997
0.139 0.861 0.497
0.500 0.500 0.500
0.500 0.500 0.000
0.864 0.136 0.750
0.136 0.864 0.250
```

***

Entry 10:
Material: Gd2SeCl4
Method: DFT, PBE
State: optimized geometry

Values from the calculation:
SG: C2/c (15)
E, eV/cell: -70.48

Geometry as POSCAR:
```
Gd2SeCl4
1.0
7.793 -3.209 0.000
7.793 3.209 0.000
-0.925 0.000 6.955
Cl Gd Se
8 4 2
Direct
0.501 0.316 0.083
0.298 0.141 0.324
0.859 0.702 0.176
0.499 0.684 0.917
0.702 0.859 0.676
0.684 0.499 0.417
0.316 0.501 0.583
0.141 0.298 0.824
0.902 0.324 0.083
0.324 0.902 0.583
0.098 0.676 0.917
0.676 0.098 0.417
0.929 0.071 0.750
0.071 0.929 0.250
```

***

Entry 11:
Material: Cu4Ag
Method: DFT, PBE
State: optimized geometry

Values from the calculation:
Formation enthalpy at 0 K, eV per atom: 0.07
Energy above the lowest structure with this stoichiometry, meV per atom: 25
SG: P-1 (2)
E, eV/cell: -34.70

Geometry as POSCAR:
```
Cu4Ag
1.0
-0.641 2.833 3.513
1.785 -2.567 3.350
6.138 2.718 1.844
Cu Ag
8 2
Direct
0.747 0.729 0.761
0.735 0.154 0.948
0.743 0.360 0.554
0.257 0.640 0.446
0.755 0.557 0.140
0.253 0.271 0.239
0.245 0.443 0.860
0.265 0.846 0.052
0.763 0.955 0.344
0.237 0.045 0.656
```

***

Entry 12:
Material: Dy2ZrP3
Method: DFT, PBE
State: optimized geometry

Values from the calculation:
SG: P-3m1 (164)
E, eV/cell: -43.17

Geometry as POSCAR:
```
Dy2ZrP3
1.0
-1.622 -2.420 2.588
0.061 -0.946 -3.780
8.492 -4.375 1.231
Dy P Zr
2 3 1
Direct
0.333 0.667 0.828
0.667 0.333 0.172
0.667 0.333 0.655
0.000 0.000 0.000
0.333 0.667 0.345
0.000 0.000 0.500
```

***

Entry 13:
Material: Li13Cd4
Method: DFT, PBE
State: optimized geometry

Values from the calculation:
SG: Pbam (55)
E, eV/cell: -60.50

Geometry as POSCAR:
```
Li13Cd4
1.0
-7.169 -1.994 -3.174
6.435 -11.768 -7.140
-0.860 -2.664 3.615
Li Cd
26 8
Direct
0.269 0.231 0.500
0.285 0.043 0.500
0.944 0.805 0.000
0.000 0.500 0.000
0.715 0.957 0.500
0.922 0.626 0.500
0.358 0.523 0.000
0.142 0.023 0.000
0.231 0.731 0.500
0.444 0.695 0.000
0.247 0.354 0.000
0.422 0.874 0.500
0.753 0.646 0.000
0.642 0.477 0.000
0.556 0.305 0.000
0.253 0.854 0.000
0.500 0.000 0.000
0.078 0.374 0.500
0.056 0.195 0.000
0.747 0.146 0.000
0.731 0.769 0.500
0.578 0.126 0.500
0.769 0.269 0.500
0.785 0.457 0.500
0.215 0.543 0.500
0.858 0.977 0.000
0.382 0.157 0.000
0.555 0.600 0.500
0.618 0.843 0.000
0.118 0.657 0.000
0.055 0.900 0.500
0.882 0.343 0.000
0.945 0.100 0.500
0.445 0.400 0.500
```

***

Entry 14:
Material: ZnPbSO
Method: DFT, PBE
State: optimized geometry

Values from the calculation:
Energy above the lowest structure with this stoichiometry, meV per atom: 325
SG: Cmcm (63)
E, eV/cell: -33.12

Geometry as POSCAR:
```
ZnPbSO
1.0
1.635 -8.483 0.000
1.635 8.483 0.000
0.000 0.000 5.098
O S Zn Pb
2 2 2 2
Direct
0.963 0.037 0.250
0.037 0.963 0.750
0.364 0.636 0.750
0.636 0.364 0.250
0.500 0.500 0.500
0.500 0.500 0.000
0.830 0.170 0.250
0.170 0.830 0.750
```

***

Entry 15:
Material: ZnCdCuOs
Method: DFT, PBE
State: optimized geometry

Values from the calculation:
Formation enthalpy at 0 K, eV per atom: 0.46
Energy above the lowest structure with this stoichiometry, meV per atom: 0
SG: F-43m (216)
E, eV/cell: -15.27

Geometry as POSCAR:
```
ZnCdCuOs
1.0
0.000 3.116 3.116
3.116 0.000 3.116
3.116 3.116 0.000
Cu Zn Os Cd
1 1 1 1
Direct
0.750 0.750 0.750
0.000 0.000 0.000
0.250 0.250 0.250
0.500 0.500 0.500
```

***

Entry 16:
Material: GdLu2Al7Cu2
Method: DFT, PBE
State: optimized geometry

Values from the calculation:
SG: R-3m (166)
E, eV/cell: -53.06

Geometry as POSCAR:
```
GdLu2Al7Cu2
1.0
-2.390 -5.950 6.323
1.403 -2.690 8.479
-3.761 -0.995 8.122
Al Cu Lu Gd
7 2 2 1
Direct
0.582 0.582 0.073
0.582 0.073 0.582
0.927 0.418 0.418
0.418 0.927 0.418
0.500 0.500 0.500
0.418 0.418 0.927
0.073 0.582 0.582
0.665 0.665 0.665
0.335 0.335 0.335
0.858 0.858 0.858
0.142 0.142 0.142
0.000 0.000 0.000
```

***

Entry 17:
Material: AlCdFeNi
Method: DFT, PBE
State: optimized geometry

Values from the calculation:
Energy above the lowest structure with this stoichiometry, meV per atom: 84
SG: F-43m (216)
E, eV/cell: -18.12

Geometry as POSCAR:
```
AlCdFeNi
1.0
0.000 3.050 3.050
3.050 0.000 3.050
3.050 3.050 0.000
Cd Fe Ni Al
1 1 1 1
Direct
0.250 0.250 0.250
0.750 0.750 0.750
0.500 0.500 0.500
0.000 0.000 0.000
```

***

Entry 18:
Material: PrTlGaSe3
Method: DFT, PBE
State: optimized geometry

Values from the calculation:
SG: Cmcm (63)
E, eV/cell: -53.01

Geometry as POSCAR:
```
PrTlGaSe3
1.0
-4.736 5.458 0.962
1.917 -6.553 2.555
7.194 4.953 7.309
Se Tl Pr Ga
6 2 2 2
Direct
0.870 0.130 0.926
0.870 0.130 0.574
0.130 0.870 0.426
0.432 0.568 0.250
0.568 0.432 0.750
0.130 0.870 0.074
0.249 0.751 0.750
0.751 0.249 0.250
0.500 0.500 0.000
0.500 0.500 0.500
0.983 0.017 0.750
0.017 0.983 0.250
```

***

Entry 19:
Material: GdHoGa2Ir4
Method: DFT, PBE
State: optimized geometry

Values from the calculation:
Energy above the lowest structure with this stoichiometry, meV per atom: 0
SG: P-6m2 (187)
E, eV/cell: -55.22

Geometry as POSCAR:
```
GdHoGa2Ir4
1.0
-1.217 2.039 -3.630
-0.560 -4.285 0.372
-8.201 1.377 3.523
Ga Ir Gd Ho
2 4 1 1
Direct
0.667 0.333 0.251
0.667 0.333 0.749
0.000 0.000 0.663
0.333 0.667 0.831
0.000 0.000 0.337
0.333 0.667 0.169
0.000 0.000 0.000
0.333 0.667 0.500
```

***

Entry 20:
Material: HoLuSn2Pt4
Method: DFT, PBE
State: optimized geometry

Values from the calculation:
SG: P-6m2 (187)
E, eV/cell: -49.45

Geometry as POSCAR:
```
HoLuSn2Pt4
1.0
4.539 0.000 0.000
-2.270 3.931 0.000
0.000 0.000 9.019
Sn Pt Lu Ho
2 4 1 1
Direct
0.667 0.333 0.749
0.667 0.333 0.251
0.333 0.667 0.839
0.000 0.000 0.657
0.000 0.000 0.343
0.333 0.667 0.161
0.333 0.667 0.500
0.000 0.000 0.000
```